! AlCd2Si | Alexandria | PBE | optimized geometry; values from VASP
! Fermi-level density of states: 1.7 states/eV/f.u.
! Distance to the lowest polymorph of the same formula: 116 meV/atom
! ΔE_f (raw): 0.315 eV/atom
! Space-group type: No. 122
&SYSTEM
  ibrav = 0, nat = 8, ntyp = 3
/
ATOMIC_SPECIES
Cd 112.41 Cd.upf
Si 28.09 Si.upf
Al 26.98 Al.upf
CELL_PARAMETERS angstrom
-3.737 0.729 1.295
1.041 -1.217 3.689
1.364 9.380 4.902
ATOMIC_POSITIONS crystal
Cd 0.375 0.374 0.750
Cd 0.626 0.125 0.250
Cd 0.875 0.876 0.750
Cd 0.124 0.625 0.250
Si 0.750 0.250 0.500
Si 0.000 0.000 0.000
Al 0.250 0.750 0.500
Al 0.500 0.500 0.000



! AlCdSi3 | Alexandria | PBE | optimized geometry; values from VASP
! Fermi-level density of states: 2.9 states/eV/f.u.
! Distance to the lowest polymorph of the same formula: 0 meV/atom
! ΔE_f (raw): 0.845 eV/atom
! Space-group type: No. 221
&SYSTEM
  ibrav = 0, nat = 5, ntyp = 3
/
ATOMIC_SPECIES
Si 28.09 Si.upf
Cd 112.41 Cd.upf
Al 26.98 Al.upf
CELL_PARAMETERS angstrom
-1.969 4.038 -1.680
0.836 -1.461 -4.491
-4.293 -2.136 -0.104
ATOMIC_POSITIONS crystal
Si 0.500 0.000 0.000
Si 0.000 0.500 0.000
Si 0.000 0.000 0.500
Cd 0.500 0.500 0.500
Al 0.000 0.000 0.000



! AlCdSi2 | Alexandria | PBE | optimized geometry; values from VASP
! Fermi-level density of states: 1.8 states/eV/f.u.
! Distance to the lowest polymorph of the same formula: 147 meV/atom
! ΔE_f (raw): 0.440 eV/atom
! Space-group type: No. 119
&SYSTEM
  ibrav = 0, nat = 4, ntyp = 3
/
ATOMIC_SPECIES
Si 28.09 Si.upf
Cd 112.41 Cd.upf
Al 26.98 Al.upf
CELL_PARAMETERS angstrom
4.940 -0.181 0.000
1.472 4.719 0.000
-3.206 -2.269 3.002
ATOMIC_POSITIONS crystal
Si 0.250 0.750 0.500
Si 0.000 0.000 0.000
Cd 0.750 0.250 0.500
Al 0.500 0.500 0.000



! AlCdSi2 | Alexandria | PBE | optimized geometry; values from VASP
! Fermi-level density of states: 1.1 states/eV/f.u.
! Distance to the lowest polymorph of the same formula: 64 meV/atom
! ΔE_f (raw): 0.357 eV/atom
! Space-group type: No. 35
&SYSTEM
  ibrav = 0, nat = 4, ntyp = 3
/
ATOMIC_SPECIES
Cd 112.41 Cd.upf
Al 26.98 Al.upf
Si 28.09 Si.upf
CELL_PARAMETERS angstrom
2.835 -0.046 0.000
-0.820 2.714 0.000
0.000 0.000 9.393
ATOMIC_POSITIONS crystal
Cd 0.500 0.500 0.751
Al 0.000 0.000 0.468
Si 0.500 0.500 0.242
Si 0.000 0.000 0.039



! AlCd2Si | Alexandria | PBE | optimized geometry; values from VASP
! Fermi-level density of states: 1.2 states/eV/f.u.
! Distance to the lowest polymorph of the same formula: 0 meV/atom
! ΔE_f (raw): 0.200 eV/atom
! Space-group type: No. 6
&SYSTEM
  ibrav = 0, nat = 4, ntyp = 3
/
ATOMIC_SPECIES
Cd 112.41 Cd.upf
Si 28.09 Si.upf
Al 26.98 Al.upf
CELL_PARAMETERS angstrom
-0.527 -2.372 2.892
1.819 -1.980 -1.292
6.616 1.827 2.703
ATOMIC_POSITIONS crystal
Cd 0.500 0.427 0.258
Cd 0.000 0.069 0.982
Si 0.000 0.290 0.559
Al 0.500 0.714 0.702



! AlCdSi2 | Alexandria | PBE | optimized geometry; values from VASP
! Fermi-level density of states: 1.4 states/eV/f.u.
! Distance to the lowest polymorph of the same formula: 140 meV/atom
! ΔE_f (raw): 0.433 eV/atom
! Space-group type: No. 123
&SYSTEM
  ibrav = 0, nat = 4, ntyp = 3
/
ATOMIC_SPECIES
Si 28.09 Si.upf
Al 26.98 Al.upf
Cd 112.41 Cd.upf
CELL_PARAMETERS angstrom
4.106 0.000 0.000
0.000 4.166 0.000
0.000 0.000 4.166
ATOMIC_POSITIONS crystal
Si 0.000 0.000 0.000
Si 0.000 0.500 0.500
Al 0.500 0.500 0.000
Cd 0.500 0.000 0.500



The following calculated density values (in g/cm³) correspond, in order, to the records above: 5.6; 3.4; 4.6; 4.5; 5.7; 4.6.